Record 1
Computed, not measured: a relaxed KHfGa2Br6 crystal at the GGA-PBE level of DFT.

The structure in extended XYZ format:
```
10
Lattice="0.000 5.713 5.713 5.713 0.000 5.713 5.713 5.713 0.000" Properties=species:S:1:pos:R:3 pbc="T T T"
K 0.000 0.000 0.000
Hf 5.713 5.713 5.713
Ga 2.857 2.857 2.857
Ga 8.570 8.570 8.570
Br 5.713 5.713 3.092
Br 5.713 3.092 5.713
Br 8.334 5.713 5.713
Br 3.092 5.713 5.713
Br 5.713 8.334 5.713
Br 5.713 5.713 8.334
```

Record 2
Computed, not measured: a relaxed K2GaHgBr6 crystal at the GGA-PBE level of DFT.

The structure in extended XYZ format:
```
10
Lattice="0.000 5.507 5.507 5.507 0.000 5.507 5.507 5.507 0.000" Properties=species:S:1:pos:R:3 pbc="T T T"
K 2.753 2.753 2.753
K 8.260 8.260 8.260
Ga 0.000 0.000 0.000
Hg 5.507 5.507 5.507
Br 5.507 5.507 2.620
Br 5.507 2.620 5.507
Br 8.394 5.507 5.507
Br 2.620 5.507 5.507
Br 5.507 8.394 5.507
Br 5.507 5.507 8.394
```

DFT total energy per entry: -36.17; -25.64 eV/f.u.